Record 1
Mg4AlCl | GGA-PBE | optimized geometry

Output
D(E_F) in states/eV/f.u.: 1.40
Symmetry: F-43m
Theoretical density in Mg/m³: 1.9
Formation energy from raw total energies in meV per atom: 38

abc: 5.804 5.804 5.804
angles: 60.00 60.00 60.00
Fractional coordinates of all 6 atoms:
Mg  0.124  0.124  0.124
Mg  0.124  0.124  0.629
Mg  0.124  0.629  0.124
Mg  0.629  0.124  0.124
Al  0.750  0.750  0.750
Cl  0.500  0.500  0.500

Record 2
VTe2N | GGA-PBE | optimized geometry

Output
D(E_F) in states/eV/f.u.: 2.50
Symmetry: R-3m
Theoretical density in Mg/m³: 6.5
Formation energy from raw total energies in meV per atom: 1237

abc: 8.774 8.774 8.774
angles: 21.84 21.84 21.84
Fractional coordinates of all 4 atoms:
V  0.000  0.000  0.000
Te  0.104  0.104  0.104
Te  0.896  0.896  0.896
N  0.500  0.500  0.500